Density functional theory data (GGA-PBE) for an optimized crystal structure of Cd3SiW.

Cell: 5.022 5.022 5.022 Å, 90.00 90.00 90.00°
Site moments in Bohr magnetons follow the coordinates.
Fractional coordinates of all 5 atoms:
1 Cd 0.000 0.500 0.000  -0.02
2 Cd 0.000 0.000 0.500  -0.05
3 Cd 0.500 0.000 0.000  0.00
4 Si 0.000 0.000 0.000  0.08
5 W 0.500 0.500 0.500  3.00

Values from the calculation:
As for the space group: No. 221. As for the total energy: -13.896 eV/cell. The formation energy (no corrections) comes out at 1445 meV/atom.